The following is a GGA-PBE calculation of a relaxed AgAsBr3 crystal, from Alexandria.

a = 4.6917 Å, b = 8.6037 Å, c = 10.5824 Å
α = 77.97°, β = 78.39°, γ = 88.22°
Space group P1 (No. 1)
Symmetry-distinct sites (fractional):
Ag (0.0000, 0.0000, 0.0000) [1 per cell]
Ag (0.4122, 0.9706, 0.1835) [1 per cell]
As (0.0346, 0.5544, 0.5202) [1 per cell]
As (0.3785, 0.4180, 0.6636) [1 per cell]
Br (0.0070, 0.3394, 0.8587) [1 per cell]
Br (0.4061, 0.6321, 0.3250) [1 per cell]
Br (0.4208, 0.1903, 0.5702) [1 per cell]
Br (0.5343, 0.8788, 0.9395) [1 per cell]
Br (0.8780, 0.0921, 0.2437) [1 per cell]
Br (0.9939, 0.7824, 0.6132) [1 per cell]

Results
ΔE_f (raw)	-0.310	eV per atom
crystal system	triclinic